[1]
12
Lattice="6.0143 -2.9315 0.0000 6.0143 2.9315 0.0000 -5.8928 0.0000 11.1014" Properties=species:S:1:pos:R:3 comment="PrDy7Er4 PBE-GGA optimized geometry" e_form_ev_per_atom=0.28 crystal_system=monoclinic de_polymorph_mev_per_atom=278 total_magnetization_mub_per_atom=0.000 pbc="T T T"
Pr 0.0000 0.0000 0.0000
Dy -1.2482 0.0000 3.6761
Dy -2.8978 0.0000 10.2323
Dy 1.4816 0.0000 5.5050
Dy 6.0143 0.0000 0.0000
Dy 4.6543 0.0000 5.5964
Dy 9.0336 0.0000 0.8691
Dy 7.3840 0.0000 7.4253
Er -1.0059 0.0000 7.5964
Er 3.1006 0.0000 2.5040
Er 3.0353 0.0000 8.5974
Er 7.1417 0.0000 3.5050



[2]
10
Lattice="3.7033 0.0000 0.0000 0.0000 6.6576 6.7104 0.0000 -6.6576 6.7104" Properties=species:S:1:pos:R:3 comment="Pr3Dy4Er3 PBE-GGA optimized geometry" e_form_ev_per_atom=0.10 crystal_system=orthorhombic total_magnetization_mub_per_atom=0.000 pbc="T T T"
Pr 0.0000 0.0000 0.0000
Pr 0.0000 -2.3138 9.0167
Pr 0.0000 2.3138 9.0167
Dy 1.8516 -1.6623 2.3657
Dy 1.8516 1.6623 2.3657
Dy 1.8516 0.0000 7.3089
Dy 1.8516 0.0000 10.7214
Er 0.0000 0.0000 4.6504
Er 1.8516 -3.2613 5.6427
Er 1.8516 3.2613 5.6427



[3]
16
Lattice="8.0589 0.0000 0.0000 0.0000 8.0589 0.0000 0.0000 0.0000 8.0589" Properties=species:S:1:pos:R:3 comment="PrDy2Er PBE-GGA optimized geometry" e_form_ev_per_atom=0.14 crystal_system=cubic de_polymorph_mev_per_atom=120 total_magnetization_mub_per_atom=0.000 pbc="T T T"
Pr 0.0000 0.0000 0.0000
Pr 0.0000 4.0295 4.0295
Pr 4.0295 0.0000 4.0295
Pr 4.0295 4.0295 0.0000
Dy 2.0147 2.0147 2.0147
Dy 2.0147 2.0147 6.0442
Dy 2.0147 6.0442 2.0147
Dy 2.0147 6.0442 6.0442
Dy 6.0442 2.0147 2.0147
Dy 6.0442 2.0147 6.0442
Dy 6.0442 6.0442 2.0147
Dy 6.0442 6.0442 6.0442
Er 0.0000 0.0000 4.0295
Er 0.0000 4.0295 0.0000
Er 4.0295 0.0000 0.0000
Er 4.0295 4.0295 4.0295



[4]
12
Lattice="8.5779 -2.8032 0.0000 8.5779 2.8032 0.0000 -5.7776 0.0000 8.2573" Properties=species:S:1:pos:R:3 comment="Pr2Dy3Er PBE-GGA optimized geometry" e_form_ev_per_atom=0.10 crystal_system=monoclinic de_polymorph_mev_per_atom=0 total_magnetization_mub_per_atom=0.000 pbc="T T T"
Pr -1.9324 0.0000 2.9604
Pr 0.9979 0.0000 5.1843
Pr 10.3803 0.0000 3.0730
Pr 13.3106 0.0000 5.2969
Dy 1.0418 0.0000 1.2877
Dy -1.7661 0.0000 7.6498
Dy 7.1427 0.0000 0.8833
Dy 4.2355 0.0000 7.3740
Dy 13.1443 0.0000 0.6075
Dy 10.3364 0.0000 6.9696
Er 4.2091 0.0000 2.9885
Er 7.1691 0.0000 5.2688